(1)
Entry from Alexandria: LaSmTlCd after structural relaxation (PBE).

Properties
The value obtained for the final energy is -3.60 eV per atom. The value obtained for the formation energy is -0.367 eV per atom. As for the space-group type: F-43m. For the size of the total moment, the calculation gives 0.15 μB per atom.

a = 7.8119 Å, b = 7.8119 Å, c = 7.8119 Å
α = 90.00°, β = 90.00°, γ = 90.00°
With the nearest neighbours (Å) after each atom.
Fractional coordinates of all 16 atoms:
La (0.0000, 0.0000, 0.0000)  4 Cd 3.38, 4 Tl 3.38
La (0.0000, 0.5000, 0.5000)  4 Cd 3.38, 4 Tl 3.38
La (0.5000, 0.0000, 0.5000)  4 Cd 3.38, 4 Tl 3.38
La (0.5000, 0.5000, 0.0000)  4 Cd 3.38, 4 Tl 3.38
Sm (0.0000, 0.0000, 0.5000)  4 Cd 3.38, 4 Tl 3.38
Sm (0.0000, 0.5000, 0.0000)  4 Cd 3.38, 4 Tl 3.38
Sm (0.5000, 0.0000, 0.0000)  4 Cd 3.38, 4 Tl 3.38
Sm (0.5000, 0.5000, 0.5000)  4 Cd 3.38, 4 Tl 3.38
Tl (0.2500, 0.2500, 0.2500)  4 La 3.38, 4 Sm 3.38
Tl (0.2500, 0.7500, 0.7500)  4 La 3.38, 4 Sm 3.38
Tl (0.7500, 0.2500, 0.7500)  4 La 3.38, 4 Sm 3.38
Tl (0.7500, 0.7500, 0.2500)  4 La 3.38, 4 Sm 3.38
Cd (0.2500, 0.2500, 0.7500)  4 La 3.38, 4 Sm 3.38
Cd (0.2500, 0.7500, 0.2500)  4 La 3.38, 4 Sm 3.38
Cd (0.7500, 0.2500, 0.2500)  4 La 3.38, 4 Sm 3.38
Cd (0.7500, 0.7500, 0.7500)  4 La 3.38, 4 Sm 3.38



(2)
Entry from Alexandria: LaSmTmCd after structural relaxation (PBE).

Properties
The value obtained for the final energy is -3.90 eV per atom. The value obtained for the formation energy is -0.139 eV per atom. As for the space-group type: P4mm. For the size of the total moment, the calculation gives 0.00 μB per atom.

a = 3.6636 Å, b = 3.6636 Å, c = 9.1056 Å
α = 90.00°, β = 90.00°, γ = 90.00°
With the nearest neighbours (Å) after each atom.
Fractional coordinates of all 4 atoms:
La (0.0000, 0.0000, 0.0000)  4 Tm 3.62, 4 La 3.66, 4 Sm 3.69
Sm (0.5000, 0.5000, 0.7116)  4 Cd 3.33, 4 Sm 3.66, 4 La 3.69
Tm (0.5000, 0.5000, 0.2769)  4 Cd 3.20
Cd (0.0000, 0.0000, 0.4824)  4 Tm 3.20, 4 Sm 3.33



(3)
Entry from Alexandria: LaSmTmCd after structural relaxation (PBE).

Properties
The value obtained for the final energy is -3.82 eV per atom. The value obtained for the formation energy is -0.060 eV per atom. As for the space-group type: F-43m. For the size of the total moment, the calculation gives 0.00 μB per atom.

a = 7.8668 Å, b = 7.8668 Å, c = 7.8668 Å
α = 90.00°, β = 90.00°, γ = 90.00°
With the nearest neighbours (Å) after each atom.
Fractional coordinates of all 16 atoms:
La (0.0000, 0.0000, 0.0000)  4 Cd 3.41, 4 Tm 3.41
La (0.0000, 0.5000, 0.5000)  4 Cd 3.41, 4 Tm 3.41
La (0.5000, 0.0000, 0.5000)  4 Cd 3.41, 4 Tm 3.41
La (0.5000, 0.5000, 0.0000)  4 Cd 3.41, 4 Tm 3.41
Sm (0.0000, 0.0000, 0.5000)  4 Tm 3.41, 4 Cd 3.41
Sm (0.0000, 0.5000, 0.0000)  4 Tm 3.41, 4 Cd 3.41
Sm (0.5000, 0.0000, 0.0000)  4 Tm 3.41, 4 Cd 3.41
Sm (0.5000, 0.5000, 0.5000)  4 Tm 3.41, 4 Cd 3.41
Tm (0.2500, 0.2500, 0.7500)  4 La 3.41, 4 Sm 3.41
Tm (0.2500, 0.7500, 0.2500)  4 La 3.41, 4 Sm 3.41
Tm (0.7500, 0.2500, 0.2500)  4 La 3.41, 4 Sm 3.41
Tm (0.7500, 0.7500, 0.7500)  4 La 3.41, 4 Sm 3.41
Cd (0.2500, 0.2500, 0.2500)  4 Sm 3.41, 4 La 3.41
Cd (0.2500, 0.7500, 0.7500)  4 La 3.41, 4 Sm 3.41
Cd (0.7500, 0.2500, 0.7500)  4 La 3.41, 4 Sm 3.41
Cd (0.7500, 0.7500, 0.2500)  4 La 3.41, 4 Sm 3.41



(4)
Entry from Alexandria: LaSmYCd after structural relaxation (PBE).

Properties
The value obtained for the final energy is -4.29 eV per atom. The value obtained for the formation energy is -0.033 eV per atom. As for the space-group type: F-43m. For the size of the total moment, the calculation gives 0.00 μB per atom.

a = 7.9204 Å, b = 7.9204 Å, c = 7.9204 Å
α = 90.00°, β = 90.00°, γ = 90.00°
With the nearest neighbours (Å) after each atom.
Fractional coordinates of all 16 atoms:
La (0.0000, 0.0000, 0.0000)  4 Y 3.43, 4 Cd 3.43
La (0.0000, 0.5000, 0.5000)  4 Y 3.43, 4 Cd 3.43
La (0.5000, 0.0000, 0.5000)  4 Y 3.43, 4 Cd 3.43
La (0.5000, 0.5000, 0.0000)  4 Y 3.43, 4 Cd 3.43
Sm (0.0000, 0.0000, 0.5000)  4 Cd 3.43, 4 Y 3.43
Sm (0.0000, 0.5000, 0.0000)  4 Cd 3.43, 4 Y 3.43
Sm (0.5000, 0.0000, 0.0000)  4 Cd 3.43, 4 Y 3.43
Sm (0.5000, 0.5000, 0.5000)  4 Cd 3.43, 4 Y 3.43
Y (0.2500, 0.2500, 0.2500)  4 La 3.43, 4 Sm 3.43
Y (0.2500, 0.7500, 0.7500)  4 La 3.43, 4 Sm 3.43
Y (0.7500, 0.2500, 0.7500)  4 La 3.43, 4 Sm 3.43
Y (0.7500, 0.7500, 0.2500)  4 La 3.43, 4 Sm 3.43
Cd (0.2500, 0.2500, 0.7500)  4 La 3.43, 4 Sm 3.43
Cd (0.2500, 0.7500, 0.2500)  4 La 3.43, 4 Sm 3.43
Cd (0.7500, 0.2500, 0.2500)  4 La 3.43, 4 Sm 3.43
Cd (0.7500, 0.7500, 0.7500)  4 Sm 3.43, 4 La 3.43



(5)
Entry from Alexandria: LaSmYCd after structural relaxation (PBE).

Properties
The value obtained for the final energy is -4.41 eV per atom. The value obtained for the formation energy is -0.151 eV per atom. As for the space-group type: P4mm. For the size of the total moment, the calculation gives 0.00 μB per atom.

a = 3.7341 Å, b = 3.7341 Å, c = 8.9224 Å
α = 90.00°, β = 90.00°, γ = 90.00°
With the nearest neighbours (Å) after each atom.
Fractional coordinates of all 4 atoms:
La (0.0000, 0.0000, 0.0000)  4 Y 3.65, 4 Sm 3.67, 4 La 3.73
Sm (0.5000, 0.5000, 0.7151)  4 Cd 3.31, 4 La 3.67
Y (0.5000, 0.5000, 0.2826)  4 Cd 3.23
Cd (0.0000, 0.0000, 0.4912)  4 Y 3.23, 4 Sm 3.31



(6)
Entry from Alexandria: La2SmY2Cd5 after structural relaxation (PBE).

Properties
The value obtained for the final energy is -3.42 eV per atom. The value obtained for the formation energy is -0.211 eV per atom. As for the space-group type: P4/mbm. For the size of the total moment, the calculation gives 0.00 μB per atom.

a = 10.8161 Å, b = 10.8161 Å, c = 4.8193 Å
α = 90.00°, β = 90.00°, γ = 90.00°
With the nearest neighbours (Å) after each atom.
Fractional coordinates of all 20 atoms:
La (0.1761, 0.3239, 0.0000)  3 Y 3.07-3.29
La (0.3239, 0.8239, 0.0000)  3 Y 3.07-3.29
La (0.6761, 0.1761, 0.0000)  3 Y 3.07-3.29
La (0.8239, 0.6761, 0.0000)  3 Y 3.07-3.29
Sm (0.0000, 0.0000, 0.0000)  8 Cd 3.29
Sm (0.5000, 0.5000, 0.0000)  8 Cd 3.29
Y (0.1230, 0.6230, 0.0000)  6 Cd 3.06-3.16, 3 La 3.07-3.29
Y (0.3770, 0.1230, 0.0000)  6 Cd 3.06-3.16, 3 La 3.07-3.29
Y (0.6230, 0.8770, 0.0000)  6 Cd 3.06-3.16, 3 La 3.07-3.29
Y (0.8770, 0.3770, 0.0000)  6 Cd 3.06-3.16, 3 La 3.07-3.29
Cd (0.0000, 0.5000, 0.5000)  4 Y 3.06, 4 Cd 3.37
Cd (0.0678, 0.8040, 0.5000)  2 Y 3.16, 3 Cd 3.17-3.37, 2 Sm 3.29
Cd (0.1960, 0.0678, 0.5000)  2 Y 3.16, 3 Cd 3.17-3.37, 2 Sm 3.29
Cd (0.3040, 0.5678, 0.5000)  2 Y 3.16, 3 Cd 3.17-3.37, 2 Sm 3.29
Cd (0.4322, 0.3040, 0.5000)  2 Y 3.16, 3 Cd 3.17-3.37, 2 Sm 3.29
Cd (0.5000, 0.0000, 0.5000)  4 Y 3.06, 4 Cd 3.37
Cd (0.5678, 0.6960, 0.5000)  2 Y 3.16, 3 Cd 3.17-3.37, 2 Sm 3.29
Cd (0.6960, 0.4322, 0.5000)  2 Y 3.16, 3 Cd 3.17-3.37, 2 Sm 3.29
Cd (0.8040, 0.9322, 0.5000)  2 Y 3.16, 3 Cd 3.17-3.37, 2 Sm 3.29
Cd (0.9322, 0.1960, 0.5000)  2 Y 3.16, 3 Cd 3.17-3.37, 2 Sm 3.29



(7)
Entry from Alexandria: La2Sm7YCd2 after structural relaxation (PBE).

Properties
The value obtained for the final energy is -4.27 eV per atom. The value obtained for the formation energy is -0.001 eV per atom. As for the space-group type: Cmmm. For the size of the total moment, the calculation gives 0.00 μB per atom.

a = 6.1636 Å, b = 6.1636 Å, c = 11.1191 Å
α = 90.00°, β = 90.00°, γ = 111.07°
With the nearest neighbours (Å) after each atom.
Fractional coordinates of all 12 atoms:
La (0.0000, 0.0000, 0.1498)  1 La 3.33, 6 Sm 3.57-3.67, 2 Cd 3.59
La (0.0000, 0.0000, 0.8502)  1 La 3.33, 6 Sm 3.57-3.67, 2 Cd 3.59
Sm (0.0000, 0.0000, 0.5000)  2 Y 3.49, 8 Sm 3.62, 2 La 3.89
Sm (0.0000, 0.5000, 0.3298)  2 Cd 3.29, 4 Sm 3.49-3.62, 2 Y 3.62, 2 La 3.67
Sm (0.0000, 0.5000, 0.6702)  2 Cd 3.29, 4 Sm 3.49-3.62, 2 Y 3.62, 2 La 3.67
Sm (0.3104, 0.6896, 0.0000)  2 Cd 3.18
Sm (0.5000, 0.0000, 0.3298)  2 Cd 3.29, 4 Sm 3.49-3.62, 2 Y 3.62, 2 La 3.67
Sm (0.5000, 0.0000, 0.6702)  2 Cd 3.29, 4 Sm 3.49-3.62, 2 Y 3.62, 2 La 3.67
Sm (0.6896, 0.3104, 0.0000)  2 Cd 3.18
Y (0.5000, 0.5000, 0.5000)  2 Cd 3.03
Cd (0.5000, 0.5000, 0.2271)  1 Y 3.03, 6 Sm 3.18-3.29
Cd (0.5000, 0.5000, 0.7729)  1 Y 3.03, 6 Sm 3.18-3.29



(8)
Entry from Alexandria: LaCdSn2 after structural relaxation (PBE).

Properties
The value obtained for the final energy is -3.40 eV per atom. The value obtained for the formation energy is 0.067 eV per atom. As for the space-group type: R-3m. For the size of the total moment, the calculation gives 0.00 μB per atom.

a = 3.5029 Å, b = 3.5029 Å, c = 33.6978 Å
α = 90.00°, β = 90.00°, γ = 120.00°
With the nearest neighbours (Å) after each atom.
Fractional coordinates of all 12 atoms:
La (0.0000, 0.0000, 0.0000)  2 Sn 3.25, 6 La 3.50
La (0.3333, 0.6667, 0.6667)  2 Sn 3.25, 6 La 3.50
La (0.6667, 0.3333, 0.3333)  2 Sn 3.25, 6 La 3.50
Cd (0.0000, 0.0000, 0.5000)  6 Sn 3.11
Cd (0.3333, 0.6667, 0.1667)  6 Sn 3.11
Cd (0.6667, 0.3333, 0.8333)  6 Sn 3.11
Sn (0.0000, 0.0000, 0.0964)  3 Cd 3.11, 1 La 3.25
Sn (0.0000, 0.0000, 0.9036)  3 Cd 3.11, 1 La 3.25
Sn (0.3333, 0.6667, 0.5702)  3 Cd 3.11, 1 La 3.25
Sn (0.3333, 0.6667, 0.7631)  3 Cd 3.11, 1 La 3.25
Sn (0.6667, 0.3333, 0.2369)  3 Cd 3.11, 1 La 3.25
Sn (0.6667, 0.3333, 0.4298)  3 Cd 3.11, 1 La 3.25



(9)
Entry from Alexandria: La15Cd4Sn after structural relaxation (PBE).

Properties
The value obtained for the final energy is -4.28 eV per atom. The value obtained for the formation energy is -0.204 eV per atom. As for the space-group type: P4/mmm. For the size of the total moment, the calculation gives 0.00 μB per atom.

a = 5.0710 Å, b = 5.0710 Å, c = 25.2329 Å
α = 90.00°, β = 90.00°, γ = 90.00°
With the nearest neighbours (Å) after each atom.
Fractional coordinates of all 20 atoms:
La (0.0000, 0.0000, 0.0000)  8 La 3.54, 4 Sn 3.59
La (0.0000, 0.0000, 0.1987)  8 La 3.58-3.59, 4 Cd 3.59
La (0.0000, 0.0000, 0.3995)  8 La 3.59, 4 Cd 3.59
La (0.0000, 0.0000, 0.6005)  8 La 3.59, 4 Cd 3.59
La (0.0000, 0.0000, 0.8013)  8 La 3.58-3.59, 4 Cd 3.59
La (0.0000, 0.5000, 0.0978)  8 La 3.54-3.59, 2 Sn 3.54, 2 Cd 3.61
La (0.0000, 0.5000, 0.2988)  4 Cd 3.57-3.59, 8 La 3.58-3.59
La (0.0000, 0.5000, 0.5000)  4 Cd 3.58, 8 La 3.59
La (0.0000, 0.5000, 0.7012)  4 Cd 3.57-3.59, 8 La 3.58-3.59
La (0.0000, 0.5000, 0.9022)  8 La 3.54-3.59, 2 Sn 3.54, 2 Cd 3.61
La (0.5000, 0.0000, 0.0978)  8 La 3.54-3.59, 2 Sn 3.54, 2 Cd 3.61
La (0.5000, 0.0000, 0.2988)  4 Cd 3.57-3.59, 8 La 3.58-3.59
La (0.5000, 0.0000, 0.5000)  4 Cd 3.58, 8 La 3.59
La (0.5000, 0.0000, 0.7012)  4 Cd 3.57-3.59, 8 La 3.58-3.59
La (0.5000, 0.0000, 0.9022)  8 La 3.54-3.59, 2 Sn 3.54, 2 Cd 3.61
Cd (0.5000, 0.5000, 0.1994)  12 La 3.57-3.61
Cd (0.5000, 0.5000, 0.3996)  12 La 3.58-3.59
Cd (0.5000, 0.5000, 0.6004)  12 La 3.58-3.59
Cd (0.5000, 0.5000, 0.8006)  12 La 3.57-3.61
Sn (0.5000, 0.5000, 0.0000)  12 La 3.54-3.59



(10)
Entry from Alexandria: LaCdSn2 after structural relaxation (PBE).

Properties
The value obtained for the final energy is -3.68 eV per atom. The value obtained for the formation energy is -0.221 eV per atom. As for the space-group type: I-42d. For the size of the total moment, the calculation gives 0.00 μB per atom.

a = 4.9109 Å, b = 4.9109 Å, c = 20.7103 Å
α = 90.00°, β = 90.00°, γ = 90.00°
With the nearest neighbours (Å) after each atom.
Fractional coordinates of all 16 atoms:
La (0.0000, 0.0000, 0.0000)  4 Sn 3.25, 4 Cd 3.47
La (0.0000, 0.5000, 0.2500)  4 Sn 3.25, 4 Cd 3.47
La (0.5000, 0.0000, 0.7500)  4 Sn 3.25, 4 Cd 3.47
La (0.5000, 0.5000, 0.5000)  4 Sn 3.25, 4 Cd 3.47
Cd (0.0000, 0.0000, 0.5000)  4 Sn 3.01
Cd (0.0000, 0.5000, 0.7500)  4 Sn 3.01
Cd (0.5000, 0.0000, 0.2500)  4 Sn 3.01
Cd (0.5000, 0.5000, 0.0000)  4 Sn 3.01
Sn (0.1866, 0.2500, 0.6250)  2 Cd 3.01, 2 Sn 3.06, 2 La 3.25
Sn (0.2500, 0.6866, 0.8750)  2 Cd 3.01, 2 Sn 3.06, 2 La 3.25
Sn (0.2500, 0.8134, 0.3750)  2 Cd 3.01, 2 Sn 3.06, 2 La 3.25
Sn (0.3134, 0.2500, 0.1250)  2 Cd 3.01, 2 Sn 3.06, 2 La 3.25
Sn (0.6866, 0.7500, 0.1250)  2 Cd 3.01, 2 Sn 3.06, 2 La 3.25
Sn (0.7500, 0.1866, 0.3750)  2 Cd 3.01, 2 Sn 3.06, 2 La 3.25
Sn (0.7500, 0.3134, 0.8750)  2 Cd 3.01, 2 Sn 3.06, 2 La 3.25
Sn (0.8134, 0.7500, 0.6250)  2 Cd 3.01, 2 Sn 3.06, 2 La 3.25